(1)
First-principles (PBE) data for HfScPa2P4 after structural relaxation, as listed in Alexandria via LeMat-Bulk.

a = 6.6114 Å, b = 3.8684 Å, c = 6.6840 Å
α = 90.00°, β = 109.81°, γ = 90.00°
Fractional coordinates of all 8 atoms:
Hf1 0.0000 0.0000 0.0000
Sc1 0.0000 0.5000 0.5000
Pa1 0.5000 0.0000 0.5000
Pa2 0.5000 0.5000 0.0000
P1 0.2334 0.0000 0.7455
P2 0.2330 0.5000 0.2439
P3 0.7666 0.0000 0.2545
P4 0.7670 0.5000 0.7561

Values from the calculation:
spin magnetization = 0.0000 μB/atom
space-group type = P2/m, No. 10
formation energy = -1.36 eV per atom
crystal system = monoclinic



(2)
First-principles (PBE) data for HfSc2PaP4 after structural relaxation, as listed in Alexandria via LeMat-Bulk.

a = 6.5627 Å, b = 3.8055 Å, c = 6.5777 Å
α = 90.00°, β = 109.40°, γ = 90.00°
Fractional coordinates of all 8 atoms:
Hf1 0.0000 0.0000 0.0000
Sc1 0.5000 0.0000 0.5000
Sc2 0.5000 0.5000 0.0000
Pa1 0.0000 0.5000 0.5000
P1 0.2513 0.5000 0.2433
P2 0.2595 0.0000 0.7623
P3 0.7405 0.0000 0.2377
P4 0.7487 0.5000 0.7567

Values from the calculation:
spin magnetization = 0.0000 μB/atom
space-group type = P2/m, No. 10
formation energy = -1.39 eV per atom
crystal system = monoclinic



(3)
First-principles (PBE) data for Sr2HfPaP4 after structural relaxation, as listed in Alexandria via LeMat-Bulk.

a = 6.9089 Å, b = 4.0325 Å, c = 7.2827 Å
α = 90.00°, β = 108.47°, γ = 90.00°
Fractional coordinates of all 8 atoms:
Sr1 0.0000 0.0000 0.0000
Sr2 0.5000 0.5000 0.0000
Hf1 0.0000 0.5000 0.5000
Pa1 0.5000 0.0000 0.5000
P1 0.2302 0.0000 0.7096
P2 0.2538 0.5000 0.2870
P3 0.7462 0.5000 0.7130
P4 0.7698 0.0000 0.2904

Values from the calculation:
spin magnetization = 0.0000 μB/atom
space-group type = P2/m, No. 10
formation energy = -1.22 eV per atom
crystal system = monoclinic



(4)
First-principles (PBE) data for Tb2HfPaP4 after structural relaxation, as listed in Alexandria via LeMat-Bulk.

a = 6.7614 Å, b = 3.9223 Å, c = 6.8218 Å
α = 90.00°, β = 109.23°, γ = 90.00°
Fractional coordinates of all 8 atoms:
Tb1 0.0000 0.0000 0.0000
Tb2 0.5000 0.5000 0.0000
Hf1 0.0000 0.5000 0.5000
Pa1 0.5000 0.0000 0.5000
P1 0.2379 0.0000 0.7334
P2 0.2447 0.5000 0.2599
P3 0.7553 0.5000 0.7401
P4 0.7621 0.0000 0.2666

Values from the calculation:
spin magnetization = 0.0000 μB/atom
space-group type = P2/m, No. 10
formation energy = -1.45 eV per atom
crystal system = monoclinic



(5)
First-principles (PBE) data for TbHfPa2P4 after structural relaxation, as listed in Alexandria via LeMat-Bulk.

a = 6.7302 Å, b = 3.9265 Å, c = 6.7842 Å
α = 90.00°, β = 109.70°, γ = 90.00°
Fractional coordinates of all 8 atoms:
Tb1 0.0000 0.0000 0.0000
Hf1 0.0000 0.5000 0.5000
Pa1 0.5000 0.0000 0.5000
Pa2 0.5000 0.5000 0.0000
P1 0.2393 0.0000 0.7383
P2 0.2455 0.5000 0.2576
P3 0.7545 0.5000 0.7424
P4 0.7607 0.0000 0.2617

Values from the calculation:
spin magnetization = 0.0000 μB/atom
space-group type = P2/m, No. 10
formation energy = -1.36 eV per atom
crystal system = monoclinic



(6)
First-principles (PBE) data for HfTh2PaP4 after structural relaxation, as listed in Alexandria via LeMat-Bulk.

a = 6.8749 Å, b = 3.9891 Å, c = 6.9328 Å
α = 90.00°, β = 109.40°, γ = 90.00°
Fractional coordinates of all 8 atoms:
Hf1 0.0000 0.0000 0.0000
Th1 0.0000 0.5000 0.5000
Th2 0.5000 0.0000 0.5000
Pa1 0.5000 0.5000 0.0000
P1 0.2343 0.5000 0.2253
P2 0.2477 0.0000 0.7702
P3 0.7523 0.0000 0.2298
P4 0.7657 0.5000 0.7747

Values from the calculation:
spin magnetization = 0.0000 μB/atom
space-group type = P2/m, No. 10
formation energy = -1.39 eV per atom
crystal system = monoclinic



(7)
First-principles (PBE) data for TmHfPa2P4 after structural relaxation, as listed in Alexandria via LeMat-Bulk.

a = 6.6965 Å, b = 3.9062 Å, c = 6.7503 Å
α = 90.00°, β = 109.72°, γ = 90.00°
Fractional coordinates of all 8 atoms:
Tm1 0.0000 0.0000 0.0000
Hf1 0.0000 0.5000 0.5000
Pa1 0.5000 0.0000 0.5000
Pa2 0.5000 0.5000 0.0000
P1 0.2373 0.0000 0.7400
P2 0.2414 0.5000 0.2536
P3 0.7586 0.5000 0.7464
P4 0.7627 0.0000 0.2600

Values from the calculation:
spin magnetization = 0.0000 μB/atom
space-group type = P2/m, No. 10
formation energy = -1.37 eV per atom
crystal system = monoclinic



(8)
First-principles (PBE) data for HfUPa2P4 after structural relaxation, as listed in Alexandria via LeMat-Bulk.

a = 6.7154 Å, b = 3.8935 Å, c = 6.7419 Å
α = 90.00°, β = 109.32°, γ = 90.00°
Fractional coordinates of all 8 atoms:
Hf1 0.0000 0.0000 0.0000
U1 0.5000 0.5000 0.0000
Pa1 0.0000 0.5000 0.5000
Pa2 0.5000 0.0000 0.5000
P1 0.2390 0.5000 0.2357
P2 0.2457 0.0000 0.7600
P3 0.7543 0.0000 0.2400
P4 0.7610 0.5000 0.7643

Values from the calculation:
spin magnetization = 0.2487 μB/atom
space-group type = P2/m, No. 10
formation energy = -1.23 eV per atom
crystal system = monoclinic